Below is a relaxed PmSiAg crystal, with properties calculated at the PBE level.

```
data_PmSiAg
_space_group_name_H-M_alt 'I 4 m m'
_space_group_IT_number 107
_space_group_name_Hall 'I 4 -2'
_cell_length_a 4.065
_cell_length_b 4.065
_cell_length_c 8.498
_cell_angle_alpha 90.00
_cell_angle_beta 90.00
_cell_angle_gamma 90.00
loop_
_atom_site_label
_atom_site_type_symbol
_atom_site_fract_x
_atom_site_fract_y
_atom_site_fract_z
_atom_site_occupancy
Pm1 Pm 0.000 0.000 0.000 1
Si1 Si 0.000 0.000 0.651 1
Ag1 Ag 0.000 0.000 0.342 1
```

Properties
crystal system = tetragonal
uncorrected energy = -26.45 eV per cell
ΔE_f (raw) = -6.4 kJ/mol of atoms
energy relative to the lowest polymorph listed for this composition = 491 meV/atom
calculated volume = 140.4 Å³/cell
D(E_F) = 2.1 states/eV/f.u.

=====

Below is a relaxed Pm3Si4Ag7 crystal, with properties calculated at the PBE level.

```
data_Pm3Si4Ag7
_space_group_name_H-M_alt 'C 1 2/m 1'
_space_group_IT_number 12
_space_group_name_Hall '-C 2y'
_cell_length_a 16.219
_cell_length_b 4.363
_cell_length_c 9.696
_cell_angle_alpha 90.00
_cell_angle_beta 125.73
_cell_angle_gamma 90.00
loop_
_atom_site_label
_atom_site_type_symbol
_atom_site_fract_x
_atom_site_fract_y
_atom_site_fract_z
_atom_site_occupancy
Pm1 Pm 0.000 0.000 0.000 1
Pm2 Pm 0.195 0.500 0.700 1
Si1 Si 0.119 0.000 0.832 1
Si2 Si 0.159 0.500 0.268 1
Ag1 Ag 0.000 0.000 0.500 1
Ag2 Ag 0.009 0.500 0.298 1
Ag3 Ag 0.159 0.000 0.420 1
Ag4 Ag 0.177 0.500 0.021 1
```

Properties
crystal system = monoclinic
uncorrected energy = -121.39 eV per cell
ΔE_f (raw) = -33.0 kJ/mol of atoms
calculated volume = 557.0 Å³/cell
D(E_F) = 5.6 states/eV/f.u.

=====

Below is a relaxed Pm12SiAg6 crystal, with properties calculated at the PBE level.

```
data_Pm12SiAg6
_space_group_name_H-M_alt 'R -3'
_space_group_IT_number 148
_space_group_name_Hall '-R 3'
_cell_length_a 11.5766
_cell_length_b 11.5766
_cell_length_c 13.9715
_cell_angle_alpha 90.00
_cell_angle_beta 90.00
_cell_angle_gamma 120.00
loop_
_atom_site_label
_atom_site_type_symbol
_atom_site_fract_x
_atom_site_fract_y
_atom_site_fract_z
_atom_site_occupancy
Pm1 Pm 0.0247 0.8379 0.3447 1
Pm2 Pm 0.0619 0.2045 0.9009 1
Si1 Si 0.0000 0.0000 0.5000 1
Ag1 Ag 0.0210 0.5967 0.2141 1
```

Properties
crystal system = trigonal
uncorrected energy = -244.17 eV per cell
ΔE_f (raw) = -9.4 kJ/mol of atoms
calculated volume = 1621.6 Å³/cell
D(E_F) = 19.6 states/eV/f.u.

=====

Below is a relaxed PmSiAg crystal, with properties calculated at the PBE level.

```
data_PmSiAg
_space_group_name_H-M_alt 'C m c m'
_space_group_IT_number 63
_space_group_name_Hall '-C 2c 2'
_cell_length_a 3.868
_cell_length_b 16.485
_cell_length_c 4.750
_cell_angle_alpha 90.00
_cell_angle_beta 90.00
_cell_angle_gamma 90.00
loop_
_atom_site_label
_atom_site_type_symbol
_atom_site_fract_x
_atom_site_fract_y
_atom_site_fract_z
_atom_site_occupancy
Pm1 Pm 0.000 0.172 0.250 1
Si1 Si 0.000 0.352 0.250 1
Ag1 Ag 0.000 0.045 0.750 1
```

Properties
crystal system = orthorhombic
uncorrected energy = -54.07 eV per cell
ΔE_f (raw) = -15.8 kJ/mol of atoms
energy relative to the lowest polymorph listed for this composition = 393 meV/atom
calculated volume = 302.9 Å³/cell
D(E_F) = 1.9 states/eV/f.u.

=====

Below is a relaxed Pm8SiAg2 crystal, with properties calculated at the PBE level.

```
data_Pm8SiAg2
_space_group_name_H-M_alt 'C 1 2/m 1'
_space_group_IT_number 12
_space_group_name_Hall '-C 2y'
_cell_length_a 18.477
_cell_length_b 5.256
_cell_length_c 7.054
_cell_angle_alpha 90.00
_cell_angle_beta 108.83
_cell_angle_gamma 90.00
loop_
_atom_site_label
_atom_site_type_symbol
_atom_site_fract_x
_atom_site_fract_y
_atom_site_fract_z
_atom_site_occupancy
Pm1 Pm 0.021 0.000 0.284 1
Pm2 Pm 0.091 0.500 0.955 1
Pm3 Pm 0.166 0.500 0.489 1
Pm4 Pm 0.201 0.000 0.828 1
Si1 Si 0.000 0.500 0.500 1
Ag1 Ag 0.175 0.000 0.227 1
```

Properties
crystal system = monoclinic
uncorrected energy = -102.06 eV per cell
ΔE_f (raw) = -16.7 kJ/mol of atoms
calculated volume = 648.4 Å³/cell
D(E_F) = 10.6 states/eV/f.u.

=====

Below is a relaxed PmSmSiAg crystal, with properties calculated at the PBE level.

```
data_PmSmSiAg
_space_group_name_H-M_alt 'F -4 3 m'
_space_group_IT_number 216
_space_group_name_Hall 'F -4 2 3'
_cell_length_a 7.313
_cell_length_b 7.313
_cell_length_c 7.313
_cell_angle_alpha 90.00
_cell_angle_beta 90.00
_cell_angle_gamma 90.00
loop_
_atom_site_label
_atom_site_type_symbol
_atom_site_fract_x
_atom_site_fract_y
_atom_site_fract_z
_atom_site_occupancy
Pm1 Pm 0.000 0.000 0.000 1
Sm1 Sm 0.000 0.000 0.500 1
Si1 Si 0.250 0.250 0.250 1
Ag1 Ag 0.250 0.250 0.750 1
```

Properties
crystal system = cubic
uncorrected energy = -77.82 eV per cell
ΔE_f (raw) = -41.2 kJ/mol of atoms
calculated volume = 391.2 Å³/cell
D(E_F) = 4.0 states/eV/f.u.

=====

Below is a relaxed SrPmSiAg crystal, with properties calculated at the PBE level.

```
data_SrPmSiAg
_space_group_name_H-M_alt 'F -4 3 m'
_space_group_IT_number 216
_space_group_name_Hall 'F -4 2 3'
_cell_length_a 7.498
_cell_length_b 7.498
_cell_length_c 7.498
_cell_angle_alpha 90.00
_cell_angle_beta 90.00
_cell_angle_gamma 90.00
loop_
_atom_site_label
_atom_site_type_symbol
_atom_site_fract_x
_atom_site_fract_y
_atom_site_fract_z
_atom_site_occupancy
Sr1 Sr 0.000 0.000 0.000 1
Pm1 Pm 0.000 0.000 0.500 1
Si1 Si 0.250 0.250 0.750 1
Ag1 Ag 0.250 0.250 0.250 1
```

Properties
crystal system = cubic
uncorrected energy = -64.25 eV per cell
ΔE_f (raw) = -32.7 kJ/mol of atoms
calculated volume = 421.6 Å³/cell
D(E_F) = 1.7 states/eV/f.u.

=====

Below is a relaxed TbPmSiAg crystal, with properties calculated at the PBE level.

```
data_TbPmSiAg
_space_group_name_H-M_alt 'F -4 3 m'
_space_group_IT_number 216
_space_group_name_Hall 'F -4 2 3'
_cell_length_a 7.251
_cell_length_b 7.251
_cell_length_c 7.251
_cell_angle_alpha 90.00
_cell_angle_beta 90.00
_cell_angle_gamma 90.00
loop_
_atom_site_label
_atom_site_type_symbol
_atom_site_fract_x
_atom_site_fract_y
_atom_site_fract_z
_atom_site_occupancy
Tb1 Tb 0.000 0.000 0.000 1
Pm1 Pm 0.000 0.000 0.500 1
Si1 Si 0.250 0.250 0.250 1
Ag1 Ag 0.250 0.250 0.750 1
```

Properties
crystal system = cubic
uncorrected energy = -77.56 eV per cell
ΔE_f (raw) = -41.8 kJ/mol of atoms
calculated volume = 381.3 Å³/cell
D(E_F) = 3.7 states/eV/f.u.

=====

Below is a relaxed PmThSiAg crystal, with properties calculated at the PBE level.

```
data_PmThSiAg
_space_group_name_H-M_alt 'F -4 3 m'
_space_group_IT_number 216
_space_group_name_Hall 'F -4 2 3'
_cell_length_a 7.346
_cell_length_b 7.346
_cell_length_c 7.346
_cell_angle_alpha 90.00
_cell_angle_beta 90.00
_cell_angle_gamma 90.00
loop_
_atom_site_label
_atom_site_type_symbol
_atom_site_fract_x
_atom_site_fract_y
_atom_site_fract_z
_atom_site_occupancy
Pm1 Pm 0.000 0.000 0.000 1
Th1 Th 0.000 0.000 0.500 1
Si1 Si 0.250 0.250 0.250 1
Ag1 Ag 0.250 0.250 0.750 1
```

Properties
crystal system = cubic
uncorrected energy = -86.69 eV per cell
ΔE_f (raw) = -29.6 kJ/mol of atoms
calculated volume = 396.4 Å³/cell
D(E_F) = 3.4 states/eV/f.u.

=====

Below is a relaxed PmYSiAg crystal, with properties calculated at the PBE level.

```
data_PmYSiAg
_space_group_name_H-M_alt 'F -4 3 m'
_space_group_IT_number 216
_space_group_name_Hall 'F -4 2 3'
_cell_length_a 7.243
_cell_length_b 7.243
_cell_length_c 7.243
_cell_angle_alpha 90.00
_cell_angle_beta 90.00
_cell_angle_gamma 90.00
loop_
_atom_site_label
_atom_site_type_symbol
_atom_site_fract_x
_atom_site_fract_y
_atom_site_fract_z
_atom_site_occupancy
Pm1 Pm 0.000 0.000 0.000 1
Y1 Y 0.000 0.000 0.500 1
Si1 Si 0.250 0.250 0.750 1
Ag1 Ag 0.250 0.250 0.250 1
```

Properties
crystal system = cubic
uncorrected energy = -85.06 eV per cell
ΔE_f (raw) = -42.8 kJ/mol of atoms
calculated volume = 380.0 Å³/cell
D(E_F) = 3.5 states/eV/f.u.

=====

Below is a relaxed Pm2Zn4Si3Ag crystal, with properties calculated at the PBE level.

```
data_Pm2Zn4Si3Ag
_space_group_name_H-M_alt 'P -4 m 2'
_space_group_IT_number 115
_space_group_name_Hall 'P -4 -2'
_cell_length_a 4.143
_cell_length_b 4.143
_cell_length_c 10.723
_cell_angle_alpha 90.00
_cell_angle_beta 90.00
_cell_angle_gamma 90.00
loop_
_atom_site_label
_atom_site_type_symbol
_atom_site_fract_x
_atom_site_fract_y
_atom_site_fract_z
_atom_site_occupancy
Pm1 Pm 0.000 0.500 0.244 1
Zn1 Zn 0.000 0.000 0.000 1
Zn2 Zn 0.000 0.500 0.639 1
Zn3 Zn 0.500 0.500 0.000 1
Si1 Si 0.000 0.500 0.862 1
Si2 Si 0.500 0.500 0.500 1
Ag1 Ag 0.000 0.000 0.500 1
```

Properties
crystal system = tetragonal
uncorrected energy = -37.51 eV per cell
ΔE_f (raw) = -36.6 kJ/mol of atoms
calculated volume = 184.1 Å³/cell
D(E_F) = 2.8 states/eV/f.u.

=====

Below is a relaxed PmZnSiAg crystal, with properties calculated at the PBE level.

```
data_PmZnSiAg
_space_group_name_H-M_alt 'F -4 3 m'
_space_group_IT_number 216
_space_group_name_Hall 'F -4 2 3'
_cell_length_a 6.826
_cell_length_b 6.826
_cell_length_c 6.826
_cell_angle_alpha 90.00
_cell_angle_beta 90.00
_cell_angle_gamma 90.00
loop_
_atom_site_label
_atom_site_type_symbol
_atom_site_fract_x
_atom_site_fract_y
_atom_site_fract_z
_atom_site_occupancy
Pm1 Pm 0.000 0.000 0.000 1
Zn1 Zn 0.250 0.250 0.750 1
Si1 Si 0.250 0.250 0.250 1
Ag1 Ag 0.000 0.000 0.500 1
```

Properties
crystal system = cubic
uncorrected energy = -60.71 eV per cell
ΔE_f (raw) = -21.2 kJ/mol of atoms
calculated volume = 318.1 Å³/cell
D(E_F) = 1.7 states/eV/f.u.